# CaCoTc2 (PBE-GGA, relaxed)
# Energy relative to the elements in eV/atom: 0.7452
data_CaCoTc2
_cell_length_a 7.422
_cell_length_b 7.422
_cell_length_c 5.026
_cell_angle_alpha 90.00
_cell_angle_beta 90.00
_cell_angle_gamma 90.00
_symmetry_space_group_name_H-M 'I -4 2 d'
_symmetry_Int_Tables_number 122
_symmetry_space_group_name_Hall 'I -4 2bw'
loop_
_atom_site_label
_atom_site_type_symbol
_atom_site_fract_x
_atom_site_fract_y
_atom_site_fract_z
_atom_site_occupancy
Ca1 Ca 0.000 0.000 0.000 1
Co1 Co 0.000 0.000 0.500 1
Tc1 Tc 0.187 0.250 0.625 1

---

# Ca2CoTc (PBE-GGA, relaxed)
# Energy relative to the elements in eV/atom: 0.7378
data_Ca2CoTc
_cell_length_a 2.917
_cell_length_b 4.509
_cell_length_c 6.060
_cell_angle_alpha 90.00
_cell_angle_beta 90.74
_cell_angle_gamma 90.00
_symmetry_space_group_name_H-M 'P 1 2/m 1'
_symmetry_Int_Tables_number 10
_symmetry_space_group_name_Hall '-P 2y'
loop_
_atom_site_label
_atom_site_type_symbol
_atom_site_fract_x
_atom_site_fract_y
_atom_site_fract_z
_atom_site_occupancy
Ca1 Ca 0.002 0.000 0.251 1
Co1 Co 0.500 0.500 0.500 1
Tc1 Tc 0.500 0.500 0.000 1

---

# CaCoTc4 (PBE-GGA, relaxed)
# Energy relative to the elements in eV/atom: 0.5037
data_CaCoTc4
_cell_length_a 7.374
_cell_length_b 7.374
_cell_length_c 7.374
_cell_angle_alpha 90.00
_cell_angle_beta 90.00
_cell_angle_gamma 90.00
_symmetry_space_group_name_H-M 'F -4 3 m'
_symmetry_Int_Tables_number 216
_symmetry_space_group_name_Hall 'F -4 2 3'
loop_
_atom_site_label
_atom_site_type_symbol
_atom_site_fract_x
_atom_site_fract_y
_atom_site_fract_z
_atom_site_occupancy
Ca1 Ca 0.000 0.000 0.000 1
Co1 Co 0.250 0.250 0.750 1
Tc1 Tc 0.125 0.125 0.375 1

---

Number 1: total magnetization 0.000 μB/atom, mass density 7.1 g/cm³. Number 2: total magnetization 0.443 μB/atom, mass density 4.9 g/cm³. Number 3: total magnetization 0.368 μB/atom, mass density 8.1 g/cm³.